First-principles (PBE with a Hubbard U) data for a relaxed RbCrBiO4 crystal, as listed in the Alexandria database.

Results
electronic total energy: -6.05 eV per atom
Fermi-level density of states: 0.0 states/eV/f.u.
SG: P2_1/m, No. 11
total magnetic moment: 2.0 μB/f.u.

Cell: 5.787 6.056 7.838 Å, 90.00 105.96 90.00°
Positions (direct):
Rb1 0.141 0.250 0.106
Rb2 0.859 0.750 0.894
Cr1 0.395 0.250 0.698
Cr2 0.605 0.750 0.302
Bi1 0.212 0.750 0.502
Bi2 0.788 0.250 0.498
O1 0.218 0.005 0.708
O2 0.218 0.495 0.708
O3 0.300 0.750 0.191
O4 0.399 0.250 0.462
O5 0.601 0.750 0.538
O6 0.700 0.250 0.809
O7 0.782 0.505 0.292
O8 0.782 0.995 0.292